(1)
Below is a relaxed structure of Sr2CdAs4Pt3, with properties calculated at the PBE level.

Properties
Space-group type: P-4m2
Energy relative to the elements in eV/atom: -0.731
Density in g/cm³: 9.1
Volume in Å³/f.u.: 214
Spin magnetization in μB/f.u.: 0.000

Structure (POSCAR):
```
Sr2CdAs4Pt3
1.0
-4.444 -0.610 0.600
0.323 -4.135 -1.810
1.827 -4.003 9.471
Pt As Sr Cd
3 4 2 1
Direct
0.000 0.000 0.500
0.000 0.500 0.113
0.500 0.000 0.887
0.500 0.500 0.000
0.000 0.000 0.000
0.000 0.500 0.353
0.500 0.000 0.647
0.500 0.000 0.239
0.000 0.500 0.761
0.500 0.500 0.500
```

(2)
Below is a relaxed structure of Pu2CdAs4, with properties calculated at the PBE level.

Properties
Space-group type: P-4m2
Energy relative to the elements in eV/atom: -0.628
Density in g/cm³: 9.3
Volume in Å³/f.u.: 161
Spin magnetization in μB/f.u.: 9.445

Structure (POSCAR):
```
Pu2CdAs4
1.0
3.941 0.000 0.000
0.000 3.941 0.000
0.000 0.000 10.345
As Pu Cd
4 2 1
Direct
0.500 0.000 0.188
0.000 0.500 0.812
0.000 0.000 0.500
0.500 0.500 0.500
0.500 0.000 0.722
0.000 0.500 0.278
0.500 0.500 0.000
```

(3)
Below is a relaxed structure of Pu2CdAs, with properties calculated at the PBE level.

Properties
Space-group type: R-3m
Energy relative to the elements in eV/atom: -0.313
Density in g/cm³: 9.9
Volume in Å³/f.u.: 113
Spin magnetization in μB/f.u.: 12.045

Structure (POSCAR):
```
Pu2CdAs
1.0
-0.938 -1.480 3.469
-3.180 -2.202 0.378
3.297 -8.271 -0.460
Pu Cd As
2 1 1
Direct
0.736 0.736 0.791
0.264 0.264 0.209
0.500 0.500 0.500
0.000 0.000 0.000
```

(4)
Below is a relaxed structure of Pu2CdAs, with properties calculated at the PBE level.

Properties
Space-group type: P4/mmm
Energy relative to the elements in eV/atom: -0.458
Density in g/cm³: 11.4
Volume in Å³/f.u.: 98
Spin magnetization in μB/f.u.: 11.662

Structure (POSCAR):
```
Pu2CdAs
1.0
-3.107 0.889 -1.734
-1.917 -0.810 3.020
0.696 6.903 2.293
Cd Pu As
1 2 1
Direct
0.500 0.500 0.500
0.000 0.000 0.213
0.000 0.000 0.787
0.500 0.500 0.000
```

(5)
Below is a relaxed structure of Pu3CdAs4, with properties calculated at the PBE level.

Properties
Space-group type: Pm-3m
Energy relative to the elements in eV/atom: -0.695
Density in g/cm³: 9.6
Volume in Å³/f.u.: 198
Spin magnetization in μB/f.u.: 14.106

Structure (POSCAR):
```
Pu3CdAs4
1.0
-3.296 2.128 -4.310
-4.800 -1.728 2.818
-0.249 5.143 2.730
Pu Cd As
3 1 4
Direct
0.500 0.500 0.000
0.000 0.500 0.500
0.500 0.000 0.500
0.000 0.000 0.000
0.500 0.000 0.000
0.000 0.500 0.000
0.000 0.000 0.500
0.500 0.500 0.500
```

(6)
Below is a relaxed structure of Pu2CdAs3Rh4, with properties calculated at the PBE level.

Properties
Space-group type: P-4m2
Energy relative to the elements in eV/atom: -0.601
Density in g/cm³: 11.0
Volume in Å³/f.u.: 187
Spin magnetization in μB/f.u.: 10.251

Structure (POSCAR):
```
Pu2CdAs3Rh4
1.0
4.058 0.000 0.000
0.000 4.058 0.000
0.000 0.000 11.334
Pu As Rh Cd
2 3 4 1
Direct
0.000 0.500 0.752
0.500 0.000 0.248
0.000 0.000 0.500
0.500 0.000 0.874
0.000 0.500 0.126
0.500 0.500 0.000
0.500 0.000 0.663
0.000 0.000 0.000
0.000 0.500 0.337
0.500 0.500 0.500
```

(7)
Below is a relaxed structure of Rb2CdAs2, with properties calculated at the PBE level.

Properties
Space-group type: P4/mbm
Energy relative to the elements in eV/atom: -0.247
Density in g/cm³: 4.6
Volume in Å³/f.u.: 155
Spin magnetization in μB/f.u.: 0.000

Structure (POSCAR):
```
Rb2CdAs2
1.0
-2.264 5.209 -4.675
-6.851 -0.644 2.601
1.117 4.017 3.935
Rb Cd As
4 2 4
Direct
0.328 0.172 0.500
0.828 0.328 0.500
0.172 0.672 0.500
0.672 0.828 0.500
0.000 0.000 0.000
0.500 0.500 0.000
0.877 0.623 0.000
0.623 0.123 0.000
0.123 0.377 0.000
0.377 0.877 0.000
```

(8)
Below is a relaxed structure of Rb2Cd2As, with properties calculated at the PBE level.

Properties
Space-group type: I4/mmm
Energy relative to the elements in eV/atom: -0.001
Density in g/cm³: 4.1
Volume in Å³/f.u.: 192
Spin magnetization in μB/f.u.: 0.000

Structure (POSCAR):
```
Rb2Cd2As
1.0
4.088 0.000 0.000
0.000 4.088 0.000
2.044 2.044 11.484
Cd Rb As
2 2 1
Direct
0.750 0.250 0.500
0.250 0.750 0.500
0.408 0.408 0.183
0.592 0.592 0.817
0.000 0.000 0.000
```

(9)
Below is a relaxed structure of Rb5CdAs2, with properties calculated at the PBE level.

Properties
Space-group type: R-3m
Energy relative to the elements in eV/atom: -0.273
Density in g/cm³: 2.7
Volume in Å³/f.u.: 427
Spin magnetization in μB/f.u.: 0.000

Structure (POSCAR):
```
Rb5CdAs2
1.0
5.710 0.000 1.807
2.569 5.099 1.807
-1.316 -0.811 14.084
As Rb Cd
2 5 1
Direct
0.062 0.062 0.815
0.938 0.938 0.185
0.630 0.630 0.111
0.370 0.370 0.889
0.246 0.246 0.261
0.500 0.500 0.500
0.754 0.754 0.739
0.000 0.000 0.000
```

(10)
Below is a relaxed structure of Rb2Cd2As, with properties calculated at the PBE level.

Properties
Space-group type: P4/mbm
Energy relative to the elements in eV/atom: -0.076
Density in g/cm³: 4.5
Volume in Å³/f.u.: 173
Spin magnetization in μB/f.u.: 0.000

Structure (POSCAR):
```
Rb2Cd2As
1.0
-1.479 1.352 7.419
4.674 -5.768 1.983
4.516 3.735 0.219
Cd Rb As
4 4 2
Direct
0.635 0.135 0.000
0.365 0.865 0.000
0.135 0.365 0.000
0.865 0.635 0.000
0.187 0.687 0.500
0.813 0.313 0.500
0.313 0.187 0.500
0.687 0.813 0.500
0.500 0.500 0.000
0.000 0.000 0.000
```

(11)
Below is a relaxed structure of RbCdAs, with properties calculated at the PBE level.

Properties
Space-group type: P-6m2
Energy relative to the elements in eV/atom: -0.396
Density in g/cm³: 4.5
Volume in Å³/f.u.: 102
Spin magnetization in μB/f.u.: 0.000

Structure (POSCAR):
```
RbCdAs
1.0
5.544 0.000 0.000
0.000 4.601 0.000
0.000 -2.301 3.985
Cd As Rb
1 1 1
Direct
0.166 0.000 0.000
0.167 0.333 0.667
0.667 0.667 0.333
```

(12)
Below is a relaxed structure of Rb2CdAs, with properties calculated at the PBE level.

Properties
Space-group type: Fm-3m
Energy relative to the elements in eV/atom: -0.017
Density in g/cm³: 3.9
Volume in Å³/f.u.: 154
Spin magnetization in μB/f.u.: 0.989

Structure (POSCAR):
```
Rb2CdAs
1.0
-4.577 -1.912 -3.398
-5.236 2.955 0.069
-1.716 3.188 -4.800
Cd Rb As
1 2 1
Direct
0.500 0.500 0.500
0.250 0.250 0.250
0.750 0.750 0.750
0.000 0.000 0.000
```

(13)
Below is a relaxed structure of Rb6CdAs, with properties calculated at the PBE level.

Properties
Space-group type: Amm2
Energy relative to the elements in eV/atom: -0.112
Density in g/cm³: 2.2
Volume in Å³/f.u.: 530
Spin magnetization in μB/f.u.: 0.000

Structure (POSCAR):
```
Rb6CdAs
1.0
4.662 0.000 0.000
0.000 10.626 -1.039
0.000 0.144 10.675
Rb As Cd
6 1 1
Direct
0.000 0.510 0.775
0.500 0.941 0.059
0.500 0.921 0.665
0.000 0.225 0.490
0.000 0.663 0.337
0.500 0.335 0.079
0.500 0.251 0.749
0.000 0.153 0.847
```

(14)
Below is a relaxed structure of RbCdAs, with properties calculated at the PBE level.

Properties
Space-group type: P2_1/c
Energy relative to the elements in eV/atom: -0.346
Density in g/cm³: 4.3
Volume in Å³/f.u.: 105
Spin magnetization in μB/f.u.: 0.000

Structure (POSCAR):
```
RbCdAs
1.0
7.496 0.000 0.000
0.000 6.714 -0.619
0.000 -0.742 8.440
Cd Rb As
4 4 4
Direct
0.649 0.919 0.641
0.851 0.919 0.141
0.351 0.081 0.359
0.149 0.081 0.859
0.280 0.632 0.013
0.720 0.368 0.987
0.220 0.632 0.513
0.780 0.368 0.487
0.395 0.215 0.681
0.105 0.215 0.181
0.605 0.785 0.319
0.895 0.785 0.819
```

(15)
Below is a relaxed structure of Rb5Cd4As4, with properties calculated at the PBE level.

Properties
Space-group type: I4/m
Energy relative to the elements in eV/atom: -0.327
Density in g/cm³: 4.5
Volume in Å³/f.u.: 433
Spin magnetization in μB/f.u.: 0.123

Structure (POSCAR):
```
Rb5Cd4As4
1.0
-1.493 1.503 -4.091
6.835 -3.468 -6.362
-5.902 -7.380 -3.152
Cd As Rb
4 4 5
Direct
0.581 0.311 0.528
0.419 0.689 0.472
0.891 0.528 0.689
0.109 0.472 0.311
0.957 0.756 0.331
0.043 0.244 0.669
0.287 0.669 0.756
0.713 0.331 0.244
0.295 0.068 0.341
0.364 0.341 0.932
0.636 0.659 0.068
0.705 0.932 0.659
0.000 0.000 0.000
```

(16)
Below is a relaxed structure of RbCd4As2, with properties calculated at the PBE level.

Properties
Space-group type: R-3m
Energy relative to the elements in eV/atom: -0.085
Density in g/cm³: 5.6
Volume in Å³/f.u.: 204
Spin magnetization in μB/f.u.: 0.000

Structure (POSCAR):
```
RbCd4As2
1.0
-3.862 1.014 3.182
-0.663 -2.834 4.195
3.793 5.023 7.100
Cd As Rb
4 2 1
Direct
0.133 0.133 0.602
0.439 0.439 0.683
0.561 0.561 0.317
0.867 0.867 0.398
0.764 0.764 0.708
0.236 0.236 0.292
0.000 0.000 0.000
```

(17)
Below is a relaxed structure of RbCd3As3, with properties calculated at the PBE level.

Properties
Space-group type: Pm-3n
Energy relative to the elements in eV/atom: -0.138
Density in g/cm³: 4.9
Volume in Å³/f.u.: 218
Spin magnetization in μB/f.u.: 0.000

Structure (POSCAR):
```
RbCd3As3
1.0
-2.258 -2.506 6.792
7.099 -2.163 1.562
1.421 6.823 2.990
Rb As Cd
2 6 6
Direct
0.000 0.000 0.000
0.500 0.500 0.500
0.500 0.750 0.000
0.750 0.000 0.500
0.000 0.500 0.250
0.000 0.500 0.750
0.250 0.000 0.500
0.500 0.250 0.000
0.000 0.750 0.500
0.750 0.500 0.000
0.500 0.000 0.750
0.250 0.500 0.000
0.500 0.000 0.250
0.000 0.250 0.500
```

(18)
Below is a relaxed structure of Rb2CdAs, with properties calculated at the PBE level.

Properties
Space-group type: I-42d
Energy relative to the elements in eV/atom: 0.217
Density in g/cm³: 3.7
Volume in Å³/f.u.: 160
Spin magnetization in μB/f.u.: 0.000

Structure (POSCAR):
```
Rb2CdAs
1.0
-1.162 4.417 2.557
-4.292 0.573 -2.941
-8.874 -3.625 7.586
Rb As Cd
4 2 2
Direct
0.375 0.385 0.750
0.615 0.125 0.250
0.135 0.625 0.250
0.875 0.865 0.750
0.500 0.500 0.000
0.250 0.750 0.500
0.750 0.250 0.500
0.000 0.000 0.000
```

(19)
Below is a relaxed structure of Rb4CdAs3, with properties calculated at the PBE level.

Properties
Space-group type: Pmm2
Energy relative to the elements in eV/atom: -0.309
Density in g/cm³: 3.6
Volume in Å³/f.u.: 313
Spin magnetization in μB/f.u.: 0.001

Structure (POSCAR):
```
Rb4CdAs3
1.0
-0.891 0.351 -5.400
-4.490 -0.519 0.707
-1.271 12.375 1.014
Rb As Cd
4 3 1
Direct
0.000 0.000 0.153
0.000 0.500 0.843
0.500 0.000 0.642
0.500 0.500 0.372
0.000 0.500 0.551
0.000 0.000 0.453
0.500 0.000 0.941
0.500 0.500 0.045
```

(20)
Below is a relaxed structure of RbCd6As2, with properties calculated at the PBE level.

Properties
Space-group type: P4/mmm
Energy relative to the elements in eV/atom: -0.134
Density in g/cm³: 6.4
Volume in Å³/f.u.: 236
Spin magnetization in μB/f.u.: 0.000

Structure (POSCAR):
```
RbCd6As2
1.0
4.420 0.000 0.000
0.000 4.420 0.000
0.000 0.000 12.068
Cd As Rb
6 2 1
Direct
0.500 0.500 0.500
0.000 0.000 0.500
0.000 0.500 0.693
0.500 0.000 0.307
0.500 0.000 0.693
0.000 0.500 0.307
0.500 0.500 0.830
0.500 0.500 0.170
0.000 0.000 0.000
```

(21)
Below is a relaxed structure of RbCdAs2, with properties calculated at the PBE level.

Properties
Space-group type: I-42d
Energy relative to the elements in eV/atom: -0.052
Density in g/cm³: 4.3
Volume in Å³/f.u.: 134
Spin magnetization in μB/f.u.: 0.000

Structure (POSCAR):
```
RbCdAs2
1.0
-0.061 5.319 0.899
-1.073 -0.893 5.211
8.438 2.008 4.875
As Cd Rb
4 2 2
Direct
0.375 0.205 0.750
0.875 0.045 0.750
0.795 0.125 0.250
0.955 0.625 0.250
0.750 0.250 0.500
0.000 0.000 0.000
0.250 0.750 0.500
0.500 0.500 0.000
```

(22)
Below is a relaxed structure of RbCd3As2, with properties calculated at the PBE level.

Properties
Space-group type: C2/m
Energy relative to the elements in eV/atom: -0.219
Density in g/cm³: 5.4
Volume in Å³/f.u.: 177
Spin magnetization in μB/f.u.: 0.000

Structure (POSCAR):
```
RbCd3As2
1.0
4.508 0.000 0.000
-2.254 7.688 -4.221
0.000 -0.544 10.529
Rb Cd As
2 6 4
Direct
0.864 0.728 0.952
0.136 0.272 0.048
0.411 0.823 0.306
0.287 0.574 0.605
0.078 0.156 0.400
0.922 0.844 0.600
0.713 0.426 0.395
0.589 0.177 0.694
0.828 0.656 0.290
0.532 0.064 0.220
0.468 0.936 0.780
0.172 0.344 0.710
```

(23)
Below is a relaxed structure of RbCdAs3, with properties calculated at the PBE level.

Properties
Space-group type: Pm-3m
Energy relative to the elements in eV/atom: 0.447
Density in g/cm³: 4.6
Volume in Å³/f.u.: 152
Spin magnetization in μB/f.u.: 0.000

Structure (POSCAR):
```
RbCdAs3
1.0
5.340 0.000 0.000
0.000 5.340 0.000
0.000 0.000 5.340
Rb As Cd
1 3 1
Direct
0.500 0.500 0.500
0.000 0.000 0.500
0.000 0.500 0.000
0.500 0.000 0.000
0.000 0.000 0.000
```

(24)
Below is a relaxed structure of Rb2Cd5As4, with properties calculated at the PBE level.

Properties
Space-group type: Cmcm
Energy relative to the elements in eV/atom: -0.295
Density in g/cm³: 5.5
Volume in Å³/f.u.: 311
Spin magnetization in μB/f.u.: 0.000

Structure (POSCAR):
```
Rb2Cd5As4
1.0
7.412 0.002 0.000
-3.346 6.614 0.000
0.000 0.000 12.700
As Cd Rb
8 10 4
Direct
0.911 0.601 0.250
0.601 0.911 0.250
0.721 0.721 0.601
0.089 0.399 0.750
0.279 0.279 0.399
0.721 0.721 0.899
0.279 0.279 0.101
0.399 0.089 0.750
0.467 0.763 0.750
0.533 0.237 0.250
0.348 0.348 0.605
0.989 0.989 0.750
0.011 0.011 0.250
0.348 0.348 0.895
0.652 0.652 0.395
0.763 0.467 0.750
0.237 0.533 0.250
0.652 0.652 0.105
0.204 0.796 0.500
0.204 0.796 0.000
0.796 0.204 0.500
0.796 0.204 0.000
```